Record 1
# Ac2Tl3Rh2 GGA-PBE optimized geometry
# * size of the total moment: 0.000 μB/atom
# * formation enthalpy at 0 K: -0.442 eV per atom
# * V: 389.63 Å³/cell
# * energy relative to the lowest polymorph listed for this composition: 0 meV per atom
data_Ac2Tl3Rh2
_chemical_formula_sum 'Ac4 Tl6 Rh4'
_symmetry_space_group_name_H-M 'C m m m'
_symmetry_Int_Tables_number 65
_symmetry_space_group_name_Hall '-C 2 2'
_cell_length_a 4.330
_cell_length_b 22.173
_cell_length_c 4.058
_cell_angle_alpha 90.00
_cell_angle_beta 90.00
_cell_angle_gamma 90.00
loop_
_atom_site_label
_atom_site_type_symbol
_atom_site_fract_x
_atom_site_fract_y
_atom_site_fract_z
Ac1 Ac 0.000 0.176 0.000
Tl1 Tl 0.000 0.000 0.000
Tl2 Tl 0.000 0.424 0.500
Rh1 Rh 0.000 0.295 0.500

Record 2
# Ac6Tl3Rh GGA-PBE optimized geometry
# * size of the total moment: 0.000 μB/atom
# * formation enthalpy at 0 K: -0.179 eV per atom
# * V: 1620.44 Å³/cell
# * energy relative to the lowest polymorph listed for this composition: 133 meV per atom
data_Ac6Tl3Rh
_chemical_formula_sum 'Ac24 Tl12 Rh4'
_symmetry_space_group_name_H-M 'C m c 21'
_symmetry_Int_Tables_number 36
_symmetry_space_group_name_Hall 'C 2c -2'
_cell_length_a 12.352
_cell_length_b 16.080
_cell_length_c 8.159
_cell_angle_alpha 90.00
_cell_angle_beta 90.00
_cell_angle_gamma 90.00
loop_
_atom_site_label
_atom_site_type_symbol
_atom_site_fract_x
_atom_site_fract_y
_atom_site_fract_z
Ac1 Ac 0.000 0.006 0.000
Ac2 Ac 0.000 0.241 0.459
Ac3 Ac 0.156 0.480 0.454
Ac4 Ac 0.162 0.238 0.912
Tl1 Tl 0.000 0.377 0.149
Tl2 Tl 0.179 0.111 0.245
Rh1 Rh 0.000 0.138 0.750

Record 3
# AcTlRh GGA-PBE optimized geometry
# * size of the total moment: 0.000 μB/atom
# * formation enthalpy at 0 K: -0.381 eV per atom
# * V: 532.30 Å³/cell
# * energy relative to the lowest polymorph listed for this composition: 157 meV per atom
data_AcTlRh
_chemical_formula_sum 'Ac6 Tl6 Rh6'
_symmetry_space_group_name_H-M 'R -3 m'
_symmetry_Int_Tables_number 166
_symmetry_space_group_name_Hall '-R 3 2"'
_cell_length_a 4.7068
_cell_length_b 4.7068
_cell_length_c 27.7335
_cell_angle_alpha 90.00
_cell_angle_beta 90.00
_cell_angle_gamma 120.00
loop_
_atom_site_label
_atom_site_type_symbol
_atom_site_fract_x
_atom_site_fract_y
_atom_site_fract_z
Ac1 Ac 0.0000 0.0000 0.2490
Tl1 Tl 0.0000 0.0000 0.0000
Tl2 Tl 0.0000 0.0000 0.5000
Rh1 Rh 0.0000 0.0000 0.1403

Record 4
# Ac2TlRh2 GGA-PBE optimized geometry
# * size of the total moment: 0.000 μB/atom
# * formation enthalpy at 0 K: -0.587 eV per atom
# * V: 259.71 Å³/cell
data_Ac2TlRh2
_chemical_formula_sum 'Ac4 Tl2 Rh4'
_symmetry_space_group_name_H-M 'P 4/m b m'
_symmetry_Int_Tables_number 127
_symmetry_space_group_name_Hall '-P 4 2ab'
_cell_length_a 7.972
_cell_length_b 7.972
_cell_length_c 4.087
_cell_angle_alpha 90.00
_cell_angle_beta 90.00
_cell_angle_gamma 90.00
loop_
_atom_site_label
_atom_site_type_symbol
_atom_site_fract_x
_atom_site_fract_y
_atom_site_fract_z
Ac1 Ac 0.172 0.328 0.000
Tl1 Tl 0.000 0.000 0.500
Rh1 Rh 0.129 0.629 0.500

Record 5
# Ac4Tl2Rh GGA-PBE optimized geometry
# * size of the total moment: 0.000 μB/atom
# * formation enthalpy at 0 K: -0.413 eV per atom
# * V: 503.23 Å³/cell
# * energy relative to the lowest polymorph listed for this composition: 0 meV per atom
data_Ac4Tl2Rh
_chemical_formula_sum 'Ac8 Tl4 Rh2'
_symmetry_space_group_name_H-M 'C 1 2/m 1'
_symmetry_Int_Tables_number 12
_symmetry_space_group_name_Hall '-C 2y'
_cell_length_a 12.971
_cell_length_b 4.880
_cell_length_c 9.291
_cell_angle_alpha 90.00
_cell_angle_beta 121.16
_cell_angle_gamma 90.00
loop_
_atom_site_label
_atom_site_type_symbol
_atom_site_fract_x
_atom_site_fract_y
_atom_site_fract_z
Ac1 Ac 0.076 0.000 0.355
Ac2 Ac 0.165 0.500 0.065
Tl1 Tl 0.140 0.500 0.660
Rh1 Rh 0.000 0.000 0.000

Record 6
# Ac3Tl2Rh3 GGA-PBE optimized geometry
# * size of the total moment: 0.000 μB/atom
# * formation enthalpy at 0 K: -0.433 eV per atom
# * V: 421.59 Å³/cell
data_Ac3Tl2Rh3
_chemical_formula_sum 'Ac6 Tl4 Rh6'
_symmetry_space_group_name_H-M 'P 63/m c m'
_symmetry_Int_Tables_number 193
_symmetry_space_group_name_Hall '-P 6c 2'
_cell_length_a 8.8174
_cell_length_b 8.8174
_cell_length_c 6.2615
_cell_angle_alpha 90.00
_cell_angle_beta 90.00
_cell_angle_gamma 120.00
loop_
_atom_site_label
_atom_site_type_symbol
_atom_site_fract_x
_atom_site_fract_y
_atom_site_fract_z
Ac1 Ac 0.0000 0.2809 0.2500
Tl1 Tl 0.3333 0.6667 0.0000
Rh1 Rh 0.0000 0.3867 0.7500

Results for raw total energy: -0.34767, -0.30058, -0.36672, -0.41482, -0.32980, -0.39117 (in Ry/atom, following the order of the records).